(1)
## LaGdGe2Au2 (PBE)

Data for a relaxed structure of LaGdGe2Au2.

* electronic total energy: -5.10 eV per atom
* magnetization: 0.000 μB per atom

Lattice parameters (Å, degrees): 4.518 4.518 7.722 90.00 90.00 120.00
Sites, in units of the cell vectors:
Gd1 0.000 0.000 0.502
La1 0.000 0.000 0.006
Ge1 0.667 0.333 0.708
Ge2 0.333 0.667 0.227
Au1 0.333 0.667 0.757
Au2 0.667 0.333 0.301


(2)
## Rb3CoCl6 (PBE)

Data for a relaxed structure of Rb3CoCl6.

* electronic total energy: -3.48 eV per atom
* magnetization: 0.000 μB per atom

Lattice parameters (Å, degrees): 7.464 7.464 7.464 60.00 60.00 60.00
Sites, in units of the cell vectors:
Cl1 0.214 0.786 0.786
Cl2 0.786 0.214 0.786
Cl3 0.786 0.786 0.214
Cl4 0.214 0.786 0.214
Cl5 0.214 0.214 0.786
Cl6 0.786 0.214 0.214
Rb1 0.750 0.750 0.750
Rb2 0.500 0.500 0.500
Rb3 0.250 0.250 0.250
Co1 0.000 0.000 0.000


(3)
## MgCdSeO (PBE)

Data for a relaxed structure of MgCdSeO.

* electronic total energy: -3.88 eV per atom
* energy above the most stable polymorph in this dataset: 29.9 kJ per mole of atoms

Lattice parameters (Å, degrees): 7.108 12.492 6.880 90.00 90.00 90.00
Sites, in units of the cell vectors:
O1 0.263 0.699 0.385
O2 0.737 0.199 0.115
O3 0.263 0.801 0.885
O4 0.763 0.801 0.615
O5 0.237 0.301 0.885
O6 0.737 0.301 0.615
O7 0.237 0.199 0.385
O8 0.763 0.699 0.115
Cd1 0.047 0.259 0.634
Cd2 0.453 0.741 0.134
Cd3 0.547 0.241 0.366
Cd4 0.953 0.759 0.866
Cd5 0.453 0.759 0.634
Cd6 0.047 0.241 0.134
Cd7 0.547 0.259 0.866
Cd8 0.953 0.741 0.366
Se1 0.997 0.948 0.237
Se2 0.503 0.052 0.737
Se3 0.997 0.552 0.737
Se4 0.003 0.448 0.263
Se5 0.503 0.448 0.237
Se6 0.003 0.052 0.763
Se7 0.497 0.552 0.763
Se8 0.497 0.948 0.263
Mg1 0.262 0.549 0.460
Mg2 0.262 0.951 0.960
Mg3 0.238 0.451 0.960
Mg4 0.738 0.451 0.540
Mg5 0.762 0.549 0.040
Mg6 0.238 0.049 0.460
Mg7 0.762 0.951 0.540
Mg8 0.738 0.049 0.040


(4)
## KCoSn (PBE)

Data for a relaxed structure of KCoSn.

* electronic total energy: -3.37 eV per atom
* magnetization: 0.235 μB per atom
* energy above the most stable polymorph in this dataset: 0.0 kJ per mole of atoms

Lattice parameters (Å, degrees): 4.703 4.703 4.703 60.00 60.00 60.00
Sites, in units of the cell vectors:
K1 0.250 0.250 0.250
Sn1 0.750 0.750 0.750
Co1 0.000 0.000 0.000


(5)
## LaBeAlPd (PBE)

Data for a relaxed structure of LaBeAlPd.

* electronic total energy: -4.52 eV per atom
* magnetization: 0.000 μB per atom
* energy above the most stable polymorph in this dataset: 16.3 kJ per mole of atoms

Lattice parameters (Å, degrees): 4.770 4.770 4.770 60.00 60.00 60.00
Sites, in units of the cell vectors:
La1 0.250 0.250 0.250
Al1 0.500 0.500 0.500
Pd1 0.000 0.000 0.000
Be1 0.750 0.750 0.750


(6)
## Rb2NaAgF6 (PBE)

Data for a relaxed structure of Rb2NaAgF6.

* electronic total energy: -3.80 eV per atom

Lattice parameters (Å, degrees): 5.981 5.981 5.981 120.30 120.30 89.47
Sites, in units of the cell vectors:
Ag1 0.500 0.500 0.000
F1 0.769 0.722 0.491
F2 0.278 0.769 0.048
F3 0.231 0.278 0.509
F4 0.722 0.231 0.952
F5 0.746 0.746 0.000
F6 0.254 0.254 0.000
Rb1 0.250 0.750 0.500
Rb2 0.750 0.250 0.500
Na1 0.000 0.000 0.000


(7)
## Lu3As2N (PBE)

Data for a relaxed structure of Lu3As2N.

* electronic total energy: -6.60 eV per atom
* magnetization: 0.001 μB per atom

Lattice parameters (Å, degrees): 3.751 3.751 9.557 90.00 90.00 120.00
Sites, in units of the cell vectors:
As1 0.667 0.333 0.319
As2 0.333 0.667 0.681
Lu1 0.000 0.000 0.500
Lu2 0.333 0.667 0.134
Lu3 0.667 0.333 0.866
N1 0.000 0.000 0.000


(8)
## HfZr2Ge (PBE)

Data for a relaxed structure of HfZr2Ge.

* electronic total energy: -8.04 eV per atom
* magnetization: 0.176 μB per atom

Lattice parameters (Å, degrees): 4.855 4.855 4.855 60.00 60.00 60.00
Last column: magnetic moment on the atom in μB.
Sites, in units of the cell vectors:
Zr1 0.000 0.000 0.000  0.33
Zr2 0.750 0.750 0.750  0.09
Hf1 0.250 0.250 0.250  0.09
Ge1 0.500 0.500 0.500  0.00


(9)
## FeReGePt (PBE)

Data for a relaxed structure of FeReGePt.

* electronic total energy: -7.46 eV per atom
* magnetization: 0.964 μB per atom
* energy above the most stable polymorph in this dataset: 19.0 kJ per mole of atoms

Lattice parameters (Å, degrees): 4.362 4.362 4.362 60.00 60.00 60.00
Sites, in units of the cell vectors:
Pt1 0.250 0.250 0.250
Re1 0.500 0.500 0.500
Fe1 0.750 0.750 0.750
Ge1 0.000 0.000 0.000


(10)
## Cs2RbTcCl6 (PBE)

Data for a relaxed structure of Cs2RbTcCl6.

* electronic total energy: -3.85 eV per atom
* magnetization: 0.200 μB per atom

Lattice parameters (Å, degrees): 7.757 7.757 7.757 60.00 60.00 60.00
Last column: magnetic moment on the atom in μB.
Sites, in units of the cell vectors:
Cl1 0.719 0.281 0.719  0.02
Cl2 0.281 0.281 0.719  0.03
Cl3 0.719 0.281 0.281  0.02
Cl4 0.281 0.719 0.719  0.02
Cl5 0.719 0.719 0.281  0.03
Cl6 0.281 0.719 0.281  0.02
Rb1 0.000 0.000 0.000  0.00
Tc1 0.500 0.500 0.500  1.60
Cs1 0.750 0.750 0.750  0.00
Cs2 0.250 0.250 0.250  0.00


(11)
## Li8Cd4O11 (PBE)

Data for a relaxed structure of Li8Cd4O11.

* electronic total energy: -4.30 eV per atom

Lattice parameters (Å, degrees): 10.706 5.321 5.168 100.45 99.37 120.13
Sites, in units of the cell vectors:
O1 0.374 0.717 0.720
O2 0.541 0.418 0.752
O3 0.784 0.907 0.253
O4 0.042 0.417 0.736
O5 0.215 0.103 0.768
O6 0.304 0.924 0.265
O7 0.136 0.263 0.270
O8 0.702 0.076 0.708
O9 0.619 0.246 0.265
O10 0.956 0.589 0.261
O11 0.874 0.752 0.734
Li1 0.999 0.998 0.499
Li2 0.835 0.328 0.503
Li3 0.319 0.306 0.520
Li4 0.752 0.503 0.998
Li5 0.230 0.490 0.962
Li6 0.505 0.036 0.519
Li7 0.690 0.671 0.513
Li8 0.166 0.666 0.498
Cd1 0.583 0.838 0.995
Cd2 0.417 0.164 0.000
Cd3 0.084 0.834 0.005
Cd4 0.914 0.165 0.999


(12)
## HfInFeTc (PBE)

Data for a relaxed structure of HfInFeTc.

* electronic total energy: -7.86 eV per atom
* magnetization: 0.472 μB per atom
* energy above the most stable polymorph in this dataset: 0.0 kJ per mole of atoms

Lattice parameters (Å, degrees): 4.538 4.538 4.538 60.00 60.00 60.00
Sites, in units of the cell vectors:
Fe1 0.750 0.750 0.750
Tc1 0.250 0.250 0.250
In1 0.000 0.000 0.000
Hf1 0.500 0.500 0.500